(1)
Below is a geometry-optimized Mg2SbRh structure, with properties calculated at the PBE level.

It has space group Imm2 (No. 44), with a = 3.076 Å, b = 4.459 Å, c = 12.275 Å, α = 90.00°, β = 90.00° and γ = 90.00°. The asymmetric unit holds Mg at (0.000, 0.000, 0.000), Mg at (0.000, 0.500, 0.180), Sb at (0.000, 0.000, 0.367) and Rh at (0.000, 0.500, 0.687).

The calculation puts the magnetization at 0.000 μB/cell. Its density of states at the Fermi level is 2.87 states/eV/cell. The formation energy (no corrections) is -0.384 eV/atom.



(2)
Below is a geometry-optimized Ho2Er3Cu3 structure, with properties calculated at the PBE level.

It has space group Immm (No. 71), with a = 3.506 Å, b = 5.053 Å, c = 20.709 Å, α = 90.00°, β = 90.00° and γ = 90.00°. The asymmetric unit holds Ho at (0.000, 0.000, 0.226), Er at (0.000, 0.000, 0.000), Er at (0.000, 0.500, 0.116), Cu at (0.000, 0.000, 0.500) and Cu at (0.000, 0.500, 0.386).

The calculation puts the magnetization at 0.000 μB/cell. Its density of states at the Fermi level is 13.72 states/eV/cell. Its energy of formation from the pure elements is -0.164 eV per atom.



(3)
Below is a geometry-optimized Cu3B4Pb2O11 structure, with properties calculated at the PBE level.

It has space group P2/c (No. 13), with a = 6.853 Å, b = 4.795 Å, c = 15.792 Å, α = 90.00°, β = 109.07° and γ = 90.00°. The asymmetric unit holds Cu at (0.000, 0.000, 0.000), Cu at (0.290, 0.468, 0.440), B at (0.140, 0.026, 0.838), B at (0.463, 0.064, 0.598), Pb at (0.208, 0.406, 0.193), O at (0.000, 0.095, 0.250), O at (0.093, 0.160, 0.407), O at (0.101, 0.316, 0.848), O at (0.277, 0.058, 0.091), O at (0.355, 0.038, 0.339) and O at (0.474, 0.294, 0.548).

The calculation puts the magnetization at 6.086 μB/cell. Its density of states at the Fermi level is 0.83 states/eV/cell. The formation energy (no corrections) is -1.616 eV/atom.